# 1
# MnCr2Co | Alexandria via LeMat-Bulk | PBE | relaxed
# DOS(E_F) in states/eV/cell: 5.32
# Energy of formation in eV/atom: 0.12
data_MnCr2Co
_chemical_formula_sum 'Mn1 Cr2 Co1'
_symmetry_space_group_name_H-M 'P 1 m 1'
_symmetry_Int_Tables_number 6
_symmetry_space_group_name_Hall 'P -2y'
_cell_length_a 2.4135
_cell_length_b 3.9284
_cell_length_c 4.7747
_cell_angle_alpha 90.00
_cell_angle_beta 101.35
_cell_angle_gamma 90.00
loop_
_atom_site_label
_atom_site_fract_x
_atom_site_fract_y
_atom_site_fract_z
Mn1 0.0000 0.0000 0.0000
Cr1 0.2265 0.5000 0.7535
Cr2 0.4139 0.0000 0.4929
Co1 0.6289 0.5000 0.2563

# 2
# MnCr2Co | Alexandria via LeMat-Bulk | PBE | relaxed
# DOS(E_F) in states/eV/cell: 4.67
# Energy of formation in eV/atom: 0.09
data_MnCr2Co
_chemical_formula_sum 'Mn1 Cr2 Co1'
_symmetry_space_group_name_H-M 'P 4/m m m'
_symmetry_Int_Tables_number 123
_symmetry_space_group_name_Hall '-P 4 2'
_cell_length_a 3.5508
_cell_length_b 3.5508
_cell_length_c 3.5477
_cell_angle_alpha 90.00
_cell_angle_beta 90.00
_cell_angle_gamma 90.00
loop_
_atom_site_label
_atom_site_fract_x
_atom_site_fract_y
_atom_site_fract_z
Mn1 0.0000 0.0000 0.0000
Cr1 0.0000 0.5000 0.5000
Co1 0.5000 0.5000 0.0000

# 3
# Mn2CrCo | Alexandria via LeMat-Bulk | PBE | relaxed
# DOS(E_F) in states/eV/cell: 9.13
# Energy of formation in eV/atom: 0.13
data_Mn2CrCo
_chemical_formula_sum 'Mn4 Cr2 Co2'
_symmetry_space_group_name_H-M 'I m m m'
_symmetry_Int_Tables_number 71
_symmetry_space_group_name_Hall '-I 2 2'
_cell_length_a 2.8221
_cell_length_b 4.1148
_cell_length_c 7.8924
_cell_angle_alpha 90.00
_cell_angle_beta 90.00
_cell_angle_gamma 90.00
loop_
_atom_site_label
_atom_site_fract_x
_atom_site_fract_y
_atom_site_fract_z
Mn1 0.0000 0.0000 0.2425
Cr1 0.0000 0.5000 0.5000
Co1 0.0000 0.5000 0.0000

# 4
# MnCr2Co | Alexandria via LeMat-Bulk | PBE | relaxed
# DOS(E_F) in states/eV/cell: 11.88
# Energy of formation in eV/atom: 0.10
data_MnCr2Co
_chemical_formula_sum 'Mn2 Cr4 Co2'
_symmetry_space_group_name_H-M 'C m m 2'
_symmetry_Int_Tables_number 35
_symmetry_space_group_name_Hall 'C 2 -2'
_cell_length_a 2.8471
_cell_length_b 3.9975
_cell_length_c 8.0027
_cell_angle_alpha 90.00
_cell_angle_beta 90.00
_cell_angle_gamma 90.00
loop_
_atom_site_label
_atom_site_fract_x
_atom_site_fract_y
_atom_site_fract_z
Mn1 0.0000 0.0000 0.0000
Cr1 0.0000 0.0000 0.4974
Cr2 0.0000 0.5000 0.2471
Co1 0.0000 0.5000 0.7488

# 5
# Mn2CrCo | Alexandria via LeMat-Bulk | PBE | relaxed
# DOS(E_F) in states/eV/cell: 10.35
# Energy of formation in eV/atom: 0.10
data_Mn2CrCo
_chemical_formula_sum 'Mn4 Cr2 Co2'
_symmetry_space_group_name_H-M 'C m m m'
_symmetry_Int_Tables_number 65
_symmetry_space_group_name_Hall '-C 2 2'
_cell_length_a 2.8077
_cell_length_b 4.0608
_cell_length_c 8.0201
_cell_angle_alpha 90.00
_cell_angle_beta 90.00
_cell_angle_gamma 90.00
loop_
_atom_site_label
_atom_site_fract_x
_atom_site_fract_y
_atom_site_fract_z
Mn1 0.0000 0.0000 0.2466
Cr1 0.0000 0.5000 0.0000
Co1 0.0000 0.5000 0.5000

# 6
# Mn2CrCo | Alexandria via LeMat-Bulk | PBE | relaxed
# DOS(E_F) in states/eV/cell: 2.78
# Energy of formation in eV/atom: 0.06
data_Mn2CrCo
_chemical_formula_sum 'Mn2 Cr1 Co1'
_symmetry_space_group_name_H-M 'P 4 m m'
_symmetry_Int_Tables_number 99
_symmetry_space_group_name_Hall 'P 4 -2'
_cell_length_a 2.9154
_cell_length_b 2.9154
_cell_length_c 5.6008
_cell_angle_alpha 90.00
_cell_angle_beta 90.00
_cell_angle_gamma 90.00
loop_
_atom_site_label
_atom_site_fract_x
_atom_site_fract_y
_atom_site_fract_z
Mn1 0.0000 0.0000 0.0000
Mn2 0.5000 0.5000 0.2603
Cr1 0.5000 0.5000 0.7599
Co1 0.0000 0.0000 0.5053